Density functional theory data (PBE-GGA) for an optimized crystal structure of Tl3GaO6.

a = 6.556 Å, b = 6.556 Å, c = 6.556 Å
α = 90.65°, β = 90.65°, γ = 90.65°
Atoms (fractional coordinates):
O 0.795 0.459 0.583
Ga 0.500 0.500 0.500
Tl 0.249 0.554 0.067
Ga 0.000 0.000 0.000
O 0.065 0.294 0.922
O 0.294 0.922 0.065
Tl 0.751 0.446 0.933
Tl 0.554 0.067 0.249
O 0.583 0.795 0.459
O 0.541 0.417 0.205
Tl 0.933 0.751 0.446
O 0.706 0.078 0.935
O 0.417 0.205 0.541
Tl 0.067 0.249 0.554
O 0.459 0.583 0.795
O 0.078 0.935 0.706
O 0.205 0.541 0.417
O 0.935 0.706 0.078
Tl 0.446 0.933 0.751
O 0.922 0.065 0.294

Results
Energy relative to the lowest polymorph listed for this composition   0.00 eV per formula unit
Total DFT energy (no corrections)   -4.933 eV per atom
E_form (uncorrected)   -0.945 eV/atom
Symmetry   R-3 (148)

---

Density functional theory data (PBE-GGA) for an optimized crystal structure of TlGa2O.

a = 4.755 Å, b = 4.755 Å, c = 4.755 Å
α = 60.00°, β = 60.00°, γ = 60.00°
Atoms (fractional coordinates):
Ga 0.250 0.250 0.250
O 0.000 0.000 0.000
Ga 0.750 0.750 0.750
Tl 0.500 0.500 0.500

Results
Energy relative to the lowest polymorph listed for this composition   2.24 eV per formula unit
Total DFT energy (no corrections)   -3.153 eV per atom
E_form (uncorrected)   0.191 eV/atom
Symmetry   Fm-3m (225)

---

Density functional theory data (PBE-GGA) for an optimized crystal structure of Tl3GaO6.

a = 5.654 Å, b = 5.654 Å, c = 5.892 Å
α = 61.33°, β = 61.33°, γ = 60.00°
Atoms (fractional coordinates):
O 0.584 0.206 0.253
O 0.958 0.584 0.253
Ga 0.852 0.852 0.444
O 0.038 0.486 0.729
Tl 0.630 0.630 0.109
Tl 0.361 0.361 0.917
O 0.747 0.038 0.729
O 0.206 0.958 0.253
O 0.486 0.747 0.729
Tl 0.138 0.138 0.585

Results
Energy relative to the lowest polymorph listed for this composition   0.35 eV per formula unit
Total DFT energy (no corrections)   -4.898 eV per atom
E_form (uncorrected)   -0.910 eV/atom
Symmetry   R3 (146)

---

Density functional theory data (PBE-GGA) for an optimized crystal structure of TlGaO3.

a = 3.861 Å, b = 3.861 Å, c = 3.861 Å
α = 90.00°, β = 90.00°, γ = 90.00°
Atoms (fractional coordinates):
O 0.000 0.000 0.500
Ga 0.000 0.000 0.000
O 0.500 0.000 0.000
O 0.000 0.500 0.000
Tl 0.500 0.500 0.500

Results
Total DFT energy (no corrections)   -4.883 eV per atom
E_form (uncorrected)   -0.829 eV/atom
Symmetry   Pm-3m (221)

---

Density functional theory data (PBE-GGA) for an optimized crystal structure of Tl2GaO.

a = 4.941 Å, b = 4.941 Å, c = 4.941 Å
α = 60.00°, β = 60.00°, γ = 60.00°
Atoms (fractional coordinates):
Tl 0.250 0.250 0.250
O 0.000 0.000 0.000
Ga 0.500 0.500 0.500
Tl 0.750 0.750 0.750

Results
Energy relative to the lowest polymorph listed for this composition   1.16 eV per formula unit
Total DFT energy (no corrections)   -3.070 eV per atom
E_form (uncorrected)   0.109 eV/atom
Symmetry   Fm-3m (225)

---

Density functional theory data (PBE-GGA) for an optimized crystal structure of TlGaO3.

a = 5.122 Å, b = 5.448 Å, c = 5.448 Å
α = 120.00°, β = 90.00°, γ = 90.00°
Atoms (fractional coordinates):
O 0.500 0.286 0.286
Ga 0.250 0.000 0.000
O 0.000 0.286 0.000
O 0.500 0.000 0.714
Ga 0.750 0.000 0.000
Tl 0.250 0.667 0.333
O 0.500 0.714 0.000
O 0.000 0.000 0.286
Tl 0.750 0.333 0.667
O 0.000 0.714 0.714

Results
Total DFT energy (no corrections)   -5.174 eV per atom
E_form (uncorrected)   -1.121 eV/atom
Symmetry   P6_322 (182)

---

Density functional theory data (PBE-GGA) for an optimized crystal structure of Tl3Ga5O12.

a = 10.844 Å, b = 10.844 Å, c = 10.844 Å
α = 109.47°, β = 109.47°, γ = 109.47°
Atoms (fractional coordinates):
O 0.900 0.076 0.876
Ga 0.875 0.625 0.750
Tl 0.875 0.125 0.250
O 0.800 0.323 0.924
O 0.677 0.476 0.600
O 0.476 0.677 0.100
Ga 0.375 0.125 0.750
Ga 0.500 0.000 0.500
O 0.376 0.976 0.800
Tl 0.875 0.750 0.125
O 0.876 0.576 0.900
O 0.424 0.124 0.600
O 0.876 0.300 0.476
O 0.100 0.177 0.476
O 0.376 0.400 0.076
O 0.177 0.076 0.700
Ga 0.500 0.500 0.000
Ga 0.625 0.875 0.250
O 0.524 0.200 0.124
Tl 0.750 0.875 0.625
O 0.823 0.900 0.024
O 0.576 0.700 0.677
Ga 0.250 0.875 0.125
O 0.323 0.524 0.400
O 0.600 0.976 0.677
Tl 0.750 0.375 0.125
O 0.600 0.624 0.424
Tl 0.125 0.875 0.750
O 0.024 0.624 0.700
O 0.100 0.924 0.124
Ga 0.875 0.250 0.625
O 0.124 0.424 0.100
Ga 0.750 0.625 0.375
O 0.300 0.876 0.976
O 0.976 0.600 0.177
O 0.524 0.323 0.900
O 0.177 0.100 0.976
Tl 0.250 0.125 0.375
O 0.400 0.024 0.323
Ga 0.750 0.125 0.875
O 0.700 0.576 0.177
O 0.200 0.524 0.624
O 0.476 0.800 0.876
Ga 0.250 0.375 0.625
Ga 0.125 0.375 0.250
O 0.300 0.424 0.823
O 0.677 0.200 0.576
Tl 0.625 0.375 0.750
Ga 0.625 0.750 0.875
Ga 0.500 0.000 0.000
Tl 0.125 0.250 0.875
O 0.076 0.900 0.376
O 0.800 0.476 0.376
O 0.900 0.823 0.524
O 0.924 0.100 0.624
O 0.323 0.800 0.424
Ga 0.000 0.500 0.500
Tl 0.625 0.250 0.375
O 0.700 0.124 0.024
O 0.823 0.924 0.300
Tl 0.375 0.750 0.625
Ga 0.375 0.250 0.125
Ga 0.500 0.500 0.500
Ga 0.125 0.750 0.375
O 0.576 0.876 0.400
O 0.200 0.677 0.076
O 0.076 0.177 0.200
O 0.624 0.024 0.200
O 0.924 0.823 0.800
Ga 0.000 0.000 0.000
Tl 0.375 0.625 0.250
O 0.976 0.376 0.300
O 0.124 0.700 0.524
Ga 0.000 0.000 0.500
O 0.424 0.300 0.323
Ga 0.000 0.500 0.000
O 0.400 0.376 0.576
Tl 0.250 0.625 0.875
O 0.624 0.600 0.924
O 0.024 0.400 0.823

Results
Total DFT energy (no corrections)   -5.476 eV per atom
E_form (uncorrected)   -1.389 eV/atom
Symmetry   Ia-3d (230)

---

Density functional theory data (PBE-GGA) for an optimized crystal structure of TlGa2O.

a = 5.519 Å, b = 5.519 Å, c = 6.828 Å
α = 66.16°, β = 66.16°, γ = 90.00°
Atoms (fractional coordinates):
Ga 0.375 0.484 0.750
Tl 0.000 0.000 0.000
O 0.250 0.750 0.500
Ga 0.234 0.625 0.250
O 0.500 0.500 0.000
Tl 0.750 0.250 0.500
Ga 0.516 0.125 0.250
Ga 0.875 0.766 0.750

Results
Energy relative to the lowest polymorph listed for this composition   0.00 eV per formula unit
Total DFT energy (no corrections)   -3.714 eV per atom
E_form (uncorrected)   -0.370 eV/atom
Symmetry   I-42d (122)

---

Density functional theory data (PBE-GGA) for an optimized crystal structure of TmTl3Ga2O6.

a = 6.110 Å, b = 6.110 Å, c = 7.273 Å
α = 90.00°, β = 90.00°, γ = 120.00°
Atoms (fractional coordinates):
Tl 0.000 0.000 0.000
O 0.835 0.165 0.692
O 0.165 0.330 0.308
Ga 0.333 0.667 0.311
O 0.835 0.670 0.692
O 0.165 0.835 0.308
Ga 0.667 0.333 0.689
Tl 0.333 0.667 0.760
O 0.330 0.165 0.692
Tm 0.000 0.000 0.500
O 0.670 0.835 0.308
Tl 0.667 0.333 0.240

Results
Total DFT energy (no corrections)   -5.541 eV per atom
E_form (uncorrected)   -1.593 eV/atom
Symmetry   P-3m1 (164)

---

Density functional theory data (PBE-GGA) for an optimized crystal structure of UTl2GaO6.

a = 5.840 Å, b = 5.839 Å, c = 5.836 Å
α = 60.00°, β = 60.00°, γ = 90.04°
Atoms (fractional coordinates):
O 0.754 0.754 0.000
O 0.754 0.246 0.000
Ga 0.000 0.000 0.000
O 0.754 0.754 0.491
O 0.246 0.754 0.000
Tl 0.250 0.750 0.500
Tl 0.750 0.250 0.500
O 0.246 0.246 0.000
O 0.246 0.246 0.509
U 0.500 0.500 0.000

Results
Total DFT energy (no corrections)   -6.723 eV per atom
E_form (uncorrected)   -1.843 eV/atom
Symmetry   I4/mmm (139)

---

What is the E_form (uncorrected) in the ninth record? -1.593 eV/atom

---

Which value of E_form (uncorrected) does entry 1 give? -0.945 eV/atom